one:
Density functional theory data (meta-GGA SCAN) for a PBEsol-optimized structure of MgAs2Os.

Cell lengths 4.514, 4.419, 4.514 Å; angles 59.28, 90.00, 120.72 degrees
Sites, in units of the cell vectors:
As1 0.750 0.500 0.750
As2 0.250 0.500 0.250
Mg1 0.500 0.000 0.500
Os1 0.000 0.000 0.000

---

two:
Density functional theory data (meta-GGA SCAN) for a PBEsol-optimized structure of MgAs2Os.

Cell lengths 3.007, 3.665, 6.785 Å; angles 105.67, 102.80, 90.00 degrees
Sites, in units of the cell vectors:
As1 0.943 0.943 0.887
As2 0.713 0.213 0.427
Mg1 0.556 0.556 0.111
Os1 0.288 0.788 0.576

---

Verdict on stability: one comes out at the bottom.

---

one:
Density functional theory data (meta-GGA SCAN) for a PBEsol-optimized structure of MgAs2P.

Cell lengths 3.399, 4.478, 5.426 Å; angles 114.37, 108.25, 90.00 degrees
Sites, in units of the cell vectors:
As1 0.291 0.291 0.583
As2 0.709 0.709 0.417
P1 0.000 0.500 0.000
Mg1 0.500 0.000 0.000

---

two:
Density functional theory data (meta-GGA SCAN) for a PBEsol-optimized structure of MgAs2P.

Cell lengths 5.792, 5.792, 7.095 Å; angles 114.09, 114.09, 90.00 degrees
Sites, in units of the cell vectors:
As1 0.625 0.659 0.750
As2 0.909 0.375 0.250
As3 0.125 0.091 0.750
As4 0.341 0.875 0.250
P1 0.000 0.000 0.000
P2 0.250 0.750 0.500
Mg1 0.750 0.250 0.500
Mg2 0.500 0.500 0.000

---

Verdict on stability: one comes out at the bottom.

---

one:
Density functional theory data (meta-GGA SCAN) for a PBEsol-optimized structure of MgAsP2.

Cell lengths 3.705, 3.705, 5.578 Å; angles 109.39, 109.39, 90.00 degrees
Sites, in units of the cell vectors:
Mg1 0.250 0.750 0.500
As1 0.500 0.500 0.000
P1 0.000 0.000 0.000
P2 0.750 0.250 0.500

---

two:
Density functional theory data (meta-GGA SCAN) for a PBEsol-optimized structure of MgAsP2.

Cell lengths 3.486, 3.486, 6.178 Å; angles 90.00, 90.00, 90.00 degrees
Sites, in units of the cell vectors:
As1 0.000 0.000 0.536
P1 0.000 0.000 0.166
P2 0.500 0.500 0.105
Mg1 0.500 0.500 0.693

---

three:
Density functional theory data (meta-GGA SCAN) for a PBEsol-optimized structure of MgAsP2.

Cell lengths 4.321, 4.701, 4.321 Å; angles 62.64, 90.00, 117.36 degrees
Sites, in units of the cell vectors:
P1 0.250 0.500 0.250
P2 0.750 0.500 0.750
Mg1 0.000 0.000 0.000
As1 0.500 0.000 0.500

---

Verdict on stability: three comes out at the bottom.

---

one:
Density functional theory data (meta-GGA SCAN) for a PBEsol-optimized structure of Mg2AsP.

Cell lengths 3.478, 3.478, 7.505 Å; angles 76.60, 76.60, 60.00 degrees
Sites, in units of the cell vectors:
Mg1 0.243 0.243 0.272
Mg2 0.757 0.757 0.728
As1 0.000 0.000 0.000
P1 0.500 0.500 0.500

---

two:
Density functional theory data (meta-GGA SCAN) for a PBEsol-optimized structure of Mg2AsP.

Cell lengths 3.806, 3.806, 5.374 Å; angles 90.00, 90.00, 90.00 degrees
Sites, in units of the cell vectors:
As1 0.500 0.500 0.871
Mg1 0.500 0.500 0.371
Mg2 0.000 0.000 0.880
P1 0.000 0.000 0.379

---

Verdict on stability: two comes out at the bottom.

---

one:
Density functional theory data (meta-GGA SCAN) for a PBEsol-optimized structure of MgAsPb.

Cell lengths 4.133, 4.133, 5.150 Å; angles 90.00, 90.00, 120.00 degrees
Sites, in units of the cell vectors:
Pb1 0.667 0.333 0.300
As1 0.000 0.000 0.961
Mg1 0.333 0.667 0.739

---

two:
Density functional theory data (meta-GGA SCAN) for a PBEsol-optimized structure of MgAsPb.

Cell lengths 3.248, 3.900, 6.149 Å; angles 108.49, 105.31, 90.00 degrees
Sites, in units of the cell vectors:
As1 0.956 0.956 0.912
Pb1 0.675 0.675 0.350
Mg1 0.369 0.369 0.738

---

Verdict on stability: two comes out at the bottom.

---

one:
Density functional theory data (meta-GGA SCAN) for a PBEsol-optimized structure of Mg2As2Pb.

Cell lengths 4.254, 4.254, 7.047 Å; angles 107.57, 107.57, 90.00 degrees
Sites, in units of the cell vectors:
Pb1 0.000 0.000 0.000
As1 0.378 0.378 0.755
As2 0.622 0.622 0.245
Mg1 0.750 0.250 0.500
Mg2 0.250 0.750 0.500

---

two:
Density functional theory data (meta-GGA SCAN) for a PBEsol-optimized structure of Mg2As2Pb.

Cell lengths 3.209, 8.199, 8.199 Å; angles 90.00, 90.00, 90.00 degrees
Sites, in units of the cell vectors:
As1 0.000 0.158 0.342
As2 0.000 0.842 0.658
As3 0.000 0.658 0.158
As4 0.000 0.342 0.842
Mg1 0.500 0.362 0.138
Mg2 0.500 0.638 0.862
Mg3 0.500 0.862 0.362
Mg4 0.500 0.138 0.638
Pb1 0.000 0.500 0.500
Pb2 0.000 0.000 0.000

---

Verdict on stability: two comes out at the bottom.

---

one:
Density functional theory data (meta-GGA SCAN) for a PBEsol-optimized structure of RbMgAs2.

Cell lengths 5.125, 5.125, 5.125 Å; angles 60.00, 60.00, 60.00 degrees
Sites, in units of the cell vectors:
Rb1 0.500 0.500 0.500
Mg1 0.000 0.000 0.000
As1 0.250 0.250 0.250
As2 0.750 0.750 0.750

---

two:
Density functional theory data (meta-GGA SCAN) for a PBEsol-optimized structure of RbMgAs2.

Cell lengths 5.474, 5.474, 9.475 Å; angles 106.79, 106.79, 90.00 degrees
Sites, in units of the cell vectors:
As1 0.625 0.375 0.250
As2 0.125 0.375 0.750
As3 0.625 0.375 0.750
As4 0.625 0.875 0.250
Rb1 0.250 0.750 0.500
Rb2 0.000 0.000 0.000
Mg1 0.750 0.250 0.500
Mg2 0.500 0.500 0.000

---

Verdict on stability: one comes out at the bottom.

---

one:
Density functional theory data (meta-GGA SCAN) for a PBEsol-optimized structure of MgSb2As.

Cell lengths 4.786, 5.278, 4.786 Å; angles 116.96, 90.00, 116.96 degrees
Sites, in units of the cell vectors:
As1 0.500 0.000 0.500
Mg1 0.250 0.500 0.750
Sb1 0.000 0.000 0.000
Sb2 0.750 0.500 0.250

---

two:
Density functional theory data (meta-GGA SCAN) for a PBEsol-optimized structure of MgSb2As.

Cell lengths 3.940, 3.940, 7.706 Å; angles 75.19, 75.19, 60.00 degrees
Sites, in units of the cell vectors:
Sb1 0.755 0.755 0.734
Sb2 0.245 0.245 0.266
As1 0.500 0.500 0.500
Mg1 0.000 0.000 0.000

---

Verdict on stability: one comes out at the bottom.

---

one:
Density functional theory data (meta-GGA SCAN) for a PBEsol-optimized structure of Mg2SbAs.

Cell lengths 3.197, 4.380, 6.421 Å; angles 90.00, 90.00, 90.00 degrees
Sites, in units of the cell vectors:
Sb1 0.000 0.000 0.447
As1 0.500 0.500 0.854
Mg1 0.500 0.500 0.267
Mg2 0.000 0.000 0.932

---

two:
Density functional theory data (meta-GGA SCAN) for a PBEsol-optimized structure of Mg2SbAs.

Cell lengths 3.758, 4.831, 4.831 Å; angles 102.32, 90.00, 90.00 degrees
Sites, in units of the cell vectors:
As1 0.500 0.500 0.500
Mg1 0.000 0.000 0.500
Mg2 0.000 0.500 0.000
Sb1 0.500 0.000 0.000

---

Verdict on stability: two comes out at the bottom.

---

one:
Density functional theory data (meta-GGA SCAN) for a PBEsol-optimized structure of MgAsSe2.

Cell lengths 4.035, 4.035, 7.228 Å; angles 73.79, 73.79, 60.00 degrees
Sites, in units of the cell vectors:
Mg1 0.268 0.268 0.195
As1 0.486 0.486 0.542
Se1 0.766 0.766 0.703
Se2 0.980 0.980 0.060

---

two:
Density functional theory data (meta-GGA SCAN) for a PBEsol-optimized structure of MgAsSe2.

Cell lengths 3.863, 4.798, 4.798 Å; angles 108.53, 90.00, 90.00 degrees
Sites, in units of the cell vectors:
As1 0.500 0.500 0.500
Se1 0.000 0.744 0.256
Se2 0.000 0.256 0.744
Mg1 0.500 0.000 0.000

---

Verdict on stability: one comes out at the bottom.

---

one:
Density functional theory data (meta-GGA SCAN) for a PBEsol-optimized structure of MgAsSe2.

Cell lengths 3.840, 3.840, 8.094 Å; angles 76.28, 76.28, 60.00 degrees
Sites, in units of the cell vectors:
As1 0.000 0.000 0.000
Se1 0.895 0.895 0.314
Se2 0.105 0.105 0.686
Mg1 0.500 0.500 0.500

---

two:
Density functional theory data (meta-GGA SCAN) for a PBEsol-optimized structure of MgAsSe2.

Cell lengths 5.477, 3.891, 3.890 Å; angles 90.03, 90.00, 90.00 degrees
Sites, in units of the cell vectors:
Se1 0.500 0.625 0.375
Se2 0.000 0.125 0.875
As1 0.000 0.625 0.375
Mg1 0.500 0.125 0.875

---

three:
Density functional theory data (meta-GGA SCAN) for a PBEsol-optimized structure of MgAsSe2.

Cell lengths 3.995, 4.097, 6.127 Å; angles 109.53, 109.02, 90.00 degrees
Sites, in units of the cell vectors:
Se1 0.335 0.335 0.669
Se2 0.665 0.665 0.331
Mg1 0.000 0.500 0.000
As1 0.500 0.000 0.000

---

Verdict on stability: one comes out at the bottom.

---

one:
Density functional theory data (meta-GGA SCAN) for a PBEsol-optimized structure of MgSiAs2Se.

Cell lengths 4.733, 4.733, 4.856 Å; angles 90.00, 90.00, 90.00 degrees
Sites, in units of the cell vectors:
Mg1 0.500 0.500 0.500
As1 0.500 0.000 0.000
As2 0.000 0.500 0.000
Se1 0.000 0.000 0.500
Si1 0.000 0.000 0.000

---

two:
Density functional theory data (meta-GGA SCAN) for a PBEsol-optimized structure of MgSiAs2Se.

Cell lengths 4.852, 4.852, 4.964 Å; angles 90.00, 90.00, 90.00 degrees
Sites, in units of the cell vectors:
As1 0.000 0.500 0.000
As2 0.500 0.000 0.000
Mg1 0.000 0.000 0.000
Si1 0.500 0.500 0.500
Se1 0.000 0.000 0.500

---

Verdict on stability: two comes out at the bottom.

---

one:
Density functional theory data (meta-GGA SCAN) for a PBEsol-optimized structure of Mg2SiAs.

Cell lengths 3.055, 3.055, 7.775 Å; angles 90.00, 90.00, 89.96 degrees
Sites, in units of the cell vectors:
Mg1 0.000 0.000 0.744
Mg2 0.000 0.000 0.256
Si1 0.500 0.500 0.500
As1 0.500 0.500 0.000

---

two:
Density functional theory data (meta-GGA SCAN) for a PBEsol-optimized structure of Mg2SiAs.

Cell lengths 4.712, 4.712, 4.712 Å; angles 60.00, 60.00, 60.00 degrees
Sites, in units of the cell vectors:
Mg1 0.750 0.750 0.750
Mg2 0.250 0.250 0.250
Si1 0.500 0.500 0.500
As1 0.000 0.000 0.000

---

three:
Density functional theory data (meta-GGA SCAN) for a PBEsol-optimized structure of Mg2SiAs.

Cell lengths 3.678, 3.678, 5.567 Å; angles 90.00, 90.00, 90.00 degrees
Sites, in units of the cell vectors:
Mg1 0.000 0.000 0.963
Mg2 0.500 0.500 0.284
As1 0.500 0.500 0.776
Si1 0.000 0.000 0.477

---

Verdict on stability: three comes out at the bottom.